[1]
The following is a GGA-PBE calculation of an optimized crystal structure of MgRe2Te, from the Alexandria database.

- polymorph energy (0 for the lowest one) (eV per formula unit) = 1.921
- final energy (eV for the cell shown) = -26.9
- SG = F-43m
- ΔE_f (raw) (meV per atom) = 692.3

abc: 4.6142 4.6142 4.6142
angles: 60.00 60.00 60.00
Closest atoms and distances in Å follow each position.
Atoms (fractional coordinates):
Mg  0.5000  0.5000  0.5000  4 Te 2.83, 4 Re 2.83
Re  0.0000  0.0000  0.0000  4 Re 2.83, 4 Te 2.83
Re  0.7500  0.7500  0.7500  4 Re 2.83, 4 Mg 2.83
Te  0.2500  0.2500  0.2500  4 Re 2.83, 4 Mg 2.83

---

[2]
The following is a GGA-PBE calculation of an optimized crystal structure of NdEr10Sc4, from the Alexandria database.

- formation energy from the elements (eV/atom) = 0.58
- final energy (eV for the cell shown) = -67.0
- SG = I4/m

abc: 6.5563 9.2594 9.2594
angles: 82.80 69.27 69.27
Closest atoms and distances in Å follow each position.
Atoms (fractional coordinates):
Nd  0.0000  0.0000  0.0000  8 Sc 4.02, 8 Er 4.08
Er  0.2500  0.5000  0.5000  6 Er 3.08-3.28
Er  0.6314  0.4036  0.8422  4 Er 3.08-3.33, 2 Sc 3.15
Er  0.9650  0.1578  0.4036  4 Er 3.08-3.33, 2 Sc 3.15
Er  0.5265  0.8422  0.5964  4 Er 3.08-3.33, 2 Sc 3.15
Er  0.8771  0.5964  0.1578  4 Er 3.08-3.33, 2 Sc 3.15
Er  0.3686  0.5964  0.1578  4 Er 3.08-3.33, 2 Sc 3.15
Er  0.7500  0.5000  0.5000  6 Er 3.08-3.28
Er  0.1229  0.4036  0.8422  4 Er 3.08-3.33, 2 Sc 3.15
Er  0.4735  0.1578  0.4036  4 Er 3.08-3.33, 2 Sc 3.15
Er  0.0350  0.8422  0.5964  4 Er 3.08-3.33, 2 Sc 3.15
Sc  0.4311  0.8919  0.2458  6 Er 3.15-3.46, 2 Sc 3.29
Sc  0.6770  0.7542  0.8919  6 Er 3.15-3.46, 2 Sc 3.29
Sc  0.3230  0.2458  0.1081  6 Er 3.15-3.46, 2 Sc 3.29
Sc  0.5689  0.1081  0.7542  6 Er 3.15-3.46, 2 Sc 3.29

---

[3]
The following is a GGA-PBE calculation of an optimized crystal structure of Cs2PSCl5, from the Alexandria database.

- final energy (eV for the cell shown) = -29.9
- SG = I4mm
- ΔE_f (raw) (meV per atom) = -1043.2

abc: 7.4715 7.4715 7.4715
angles: 88.39 120.93 120.93
Closest atoms and distances in Å follow each position.
Atoms (fractional coordinates):
Cs  0.5000  0.2540  0.7540  2 S 3.71, 10 Cl 3.73-3.76
Cs  0.5000  0.7540  0.2540  2 S 3.71, 10 Cl 3.73-3.76
P  0.0000  0.9820  0.9820  1 S 2.03, 4 Cl 2.27
S  0.0000  0.7921  0.7921  1 P 2.03
Cl  0.4326  0.2209  0.2209  1 P 2.27
Cl  0.5674  0.7883  0.7883  1 P 2.27
Cl  0.0000  0.7883  0.2209  1 P 2.27
Cl  0.0000  0.2209  0.7883  1 P 2.27
Cl  0.0000  0.1994  0.1994  1 P 2.33

---

[4]
The following is a GGA-PBE calculation of an optimized crystal structure of TmMgIn2Pd4, from the Alexandria database.

- formation energy from the elements (eV/atom) = -0.75
- final energy (eV for the cell shown) = -38.3
- SG = R-3m

abc: 4.7008 4.7008 8.0377
angles: 73.00 73.00 60.00
Closest atoms and distances in Å follow each position.
Atoms (fractional coordinates):
Tm  0.5000  0.5000  0.5000  8 Pd 2.86-2.89
Mg  0.0000  0.0000  0.0000  8 Pd 2.78-2.87
In  0.7489  0.7489  0.7533  8 Pd 2.79-2.92
In  0.2511  0.2511  0.2467  8 Pd 2.79-2.92
Pd  0.3739  0.3739  0.8784  4 In 2.79-2.87, 1 Tm 2.86, 3 Mg 2.87
Pd  0.8775  0.8775  0.3676  1 Mg 2.78, 4 In 2.86-2.92, 3 Tm 2.89
Pd  0.1225  0.1225  0.6324  1 Mg 2.78, 4 In 2.86-2.92, 3 Tm 2.89
Pd  0.6261  0.6261  0.1216  4 In 2.79-2.87, 1 Tm 2.86, 3 Mg 2.87

---

[5]
The following is a GGA-PBE calculation of an optimized crystal structure of Pd4PtSe, from the Alexandria database.

- final energy (eV for the cell shown) = -61.5
- SG = P-1
- ΔE_f (raw) (meV per atom) = -78.3

abc: 5.4345 7.4592 4.8975
angles: 95.24 90.21 81.63
Closest atoms and distances in Å follow each position.
Atoms (fractional coordinates):
Pd  0.9160  0.3400  0.0704  1 Se 2.57, 6 Pd 2.77-2.87, 3 Pt 2.79-2.84
Pd  0.9246  0.8239  0.4511  2 Se 2.54-2.56, 1 Pt 2.78, 4 Pd 2.80-2.84
Pd  0.4276  0.8407  0.6427  3 Se 2.55-2.76, 2 Pd 2.83-2.84
Pd  0.5724  0.1593  0.3573  3 Se 2.55-2.76, 2 Pd 2.83-2.84
Pd  0.0840  0.6600  0.9296  1 Se 2.57, 6 Pd 2.77-2.87, 3 Pt 2.79-2.84
Pd  0.4123  0.3383  0.8901  1 Se 2.46
Pd  0.5877  0.6617  0.1099  1 Se 2.46
Pd  0.0753  0.1761  0.5489  2 Se 2.54-2.56, 1 Pt 2.78, 4 Pd 2.80-2.84
Pt  0.2509  0.4995  0.4146  10 Pd 2.78-2.97, 2 Pt 2.83-2.85
Pt  0.7491  0.5005  0.5854  10 Pd 2.78-2.97, 2 Pt 2.83-2.85
Se  0.7358  0.0699  0.8218  6 Pd 2.46-2.65
Se  0.2641  0.9301  0.1782  6 Pd 2.46-2.65

---

[6]
The following is a GGA-PBE calculation of an optimized crystal structure of AgAuS2O8, from the Alexandria database.

- final energy (eV for the cell shown) = -62.8
- SG = R32
- ΔE_f (raw) (meV per atom) = -726.4

abc: 4.8857 4.8857 8.4185
angles: 73.13 73.13 60.00
Closest atoms and distances in Å follow each position.
Atoms (fractional coordinates):
Ag  0.0000  0.0000  0.0000  12 O 2.87-3.05
Au  0.5000  0.5000  0.5000  6 O 2.26
S  0.7501  0.7501  0.7497  4 O 1.48-1.50
S  0.2499  0.2499  0.2503  4 O 1.48-1.50
O  0.6881  0.6881  0.9358  1 S 1.48
O  0.3119  0.3119  0.0642  1 S 1.48
O  0.5134  0.2417  0.3119  1 S 1.50
O  0.7583  0.4866  0.6881  1 S 1.50
O  0.0669  0.7583  0.6881  1 S 1.50
O  0.2417  0.9331  0.3119  1 S 1.50
O  0.9331  0.5134  0.3119  1 S 1.50
O  0.4866  0.0669  0.6881  1 S 1.50

---

[7]
The following is a GGA-PBE calculation of an optimized crystal structure of Be2AsPb, from the Alexandria database.

- formation energy from the elements (eV/atom) = 0.92
- polymorph energy (0 for the lowest one) (eV per formula unit) = 2.834
- final energy (eV for the cell shown) = -12.1
- SG = F-43m

abc: 4.7265 4.7265 4.7265
angles: 60.00 60.00 60.00
Closest atoms and distances in Å follow each position.
Atoms (fractional coordinates):
Pb  0.2500  0.2500  0.2500  4 As 2.89, 4 Be 2.89
Be  0.0000  0.0000  0.0000  4 Pb 2.89, 4 Be 2.89
Be  0.7500  0.7500  0.7500  4 As 2.89, 4 Be 2.89
As  0.5000  0.5000  0.5000  4 Be 2.89, 4 Pb 2.89

---

[8]
The following is a GGA-PBE calculation of an optimized crystal structure of PuPW, from the Alexandria database.

- formation energy from the elements (eV/atom) = -0.45
- final energy (eV for the cell shown) = -68.1
- SG = P4/nmm

abc: 3.8568 3.8568 7.5065
angles: 90.00 90.00 90.00
Closest atoms and distances in Å follow each position.
Atoms (fractional coordinates):
P  0.5000  0.0000  0.7285  4 W 2.58
P  0.0000  0.5000  0.2715  4 W 2.58
Pu  0.5000  0.0000  0.1403  5 P 2.90-3.09
Pu  0.0000  0.5000  0.8597  5 P 2.90-3.09
W  0.5000  0.5000  0.5000  4 P 2.58, 4 W 2.73
W  0.0000  0.0000  0.5000  4 P 2.58, 4 W 2.73